No. 1
MnAs2 | PBE | relaxed

Cell: 4.7654 4.7654 2.7356 Å, 90.00 90.00 120.00°
Last column: nearest neighbours and their distance in Å.
Positions (direct):
Mn 0.0000 0.0000 0.0000  2 Mn 2.74
As 0.3333 0.6667 0.5000  5 As 2.74-2.75
As 0.6667 0.3333 0.5000  5 As 2.74-2.75

Computed properties:
Formation enthalpy at 0 K (eV/atom): 0.3586
DOS(E_F) (states/eV/f.u.): 1.98
V (Å³/atom): 17.93
Spin magnetization (Bohr magnetons per cell): 4.00

---

No. 2
MnAs3 | PBE | relaxed

Cell: 3.0643 3.1935 6.8816 Å, 90.00 90.31 90.00°
Last column: nearest neighbours and their distance in Å.
Positions (direct):
Mn 0.0000 0.0000 0.0000  8 As 2.61-2.62
As 0.0000 0.0000 0.5000  12 As 3.01-3.19
As 0.4971 0.5000 0.7977  4 Mn 2.61-2.62, 1 As 2.78
As 0.5029 0.5000 0.2023  4 Mn 2.61-2.62, 1 As 2.78

Computed properties:
Formation enthalpy at 0 K (eV/atom): 0.1761
DOS(E_F) (states/eV/f.u.): 2.50
V (Å³/atom): 16.83
Spin magnetization (Bohr magnetons per cell): 2.16

---

No. 3
MnAs3 | PBE | relaxed

Cell: 5.6493 7.2623 3.5044 Å, 90.00 90.00 90.00°
Last column: nearest neighbours and their distance in Å.
Positions (direct):
Mn 0.0000 0.0000 0.0000  10 As 2.82-2.89
Mn 0.5000 0.5000 0.0000  10 As 2.82-2.89
As 0.0000 0.5000 0.0000  2 Mn 2.82, 8 As 2.89
As 0.2500 0.2500 0.5000  6 As 2.82-2.89, 4 Mn 2.89
As 0.2500 0.7500 0.5000  6 As 2.82-2.89, 4 Mn 2.89
As 0.5000 0.0000 0.0000  2 Mn 2.82, 8 As 2.89
As 0.7500 0.2500 0.5000  6 As 2.82-2.89, 4 Mn 2.89
As 0.7500 0.7500 0.5000  6 As 2.82-2.89, 4 Mn 2.89

Computed properties:
Formation enthalpy at 0 K (eV/atom): 0.2963
DOS(E_F) (states/eV/f.u.): 1.89
V (Å³/atom): 17.97
Spin magnetization (Bohr magnetons per cell): 7.01